[1]
The following is a DFT calculation (PBEsol) of K2MgOs after structural relaxation.

Cell: 12.3177 12.3177 12.3177 Å, 13.77 13.77 13.77°
With the nearest neighbours (Å) after each atom.
Fractional coordinates of all 4 atoms:
K (0.2402, 0.2402, 0.2402)  6 K 2.95, 3 Os 3.19
K (0.7598, 0.7598, 0.7598)  6 K 2.95, 3 Os 3.19
Mg (0.0000, 0.0000, 0.0000)  6 Mg 2.95
Os (0.5000, 0.5000, 0.5000)  6 Os 2.95, 6 K 3.19

Output
The space group is R-3m. For the density of states at the Fermi level, the calculation gives 0.658 states/eV per atom. The calculation puts the total energy at -11.9 eV per cell.

---

[2]
The following is a DFT calculation (PBEsol) of K4MgOs after structural relaxation.

Cell: 6.5945 6.5945 6.5945 Å, 60.00 60.00 60.00°
With the nearest neighbours (Å) after each atom.
Fractional coordinates of all 6 atoms:
K (0.3765, 0.3765, 0.3765)  6 K 3.26-3.34
K (0.3765, 0.3765, 0.8704)  6 K 3.26-3.34
K (0.3765, 0.8704, 0.3765)  6 K 3.26-3.34
K (0.8704, 0.3765, 0.3765)  6 K 3.26-3.34
Mg (0.0000, 0.0000, 0.0000)  12 K 3.87, 4 Os 4.04
Os (0.7500, 0.7500, 0.7500)  12 K 3.86, 4 Mg 4.04

Output
The space group is F-43m. For the density of states at the Fermi level, the calculation gives 1.528 states/eV per atom. The calculation puts the total energy at -10.5 eV per cell.

---

[3]
The following is a DFT calculation (PBEsol) of KMgOs2 after structural relaxation.

Cell: 2.7752 3.8171 8.3951 Å, 90.00 90.00 90.00°
With the nearest neighbours (Å) after each atom.
Fractional coordinates of all 4 atoms:
K (0.0000, 0.0000, 0.0000)  2 K 2.78
Mg (0.5000, 0.5000, 0.3722)  5 Os 2.70-2.94, 2 Mg 2.78
Os (0.0000, 0.0000, 0.5811)  6 Os 2.54-2.78
Os (0.5000, 0.5000, 0.6940)  6 Os 2.54-2.78, 1 Mg 2.70

Output
The space group is Pmm2. For the density of states at the Fermi level, the calculation gives 0.691 states/eV per atom. The calculation puts the total energy at -25.1 eV per cell.

---

[4]
The following is a DFT calculation (PBEsol) of KMg2Os after structural relaxation.

Cell: 3.4610 3.4610 8.2956 Å, 90.00 90.00 90.00°
With the nearest neighbours (Å) after each atom.
Fractional coordinates of all 4 atoms:
K (0.0000, 0.0000, 0.0000)  1 Mg 3.30, 4 Os 3.46, 4 K 3.46
Mg (0.0000, 0.0000, 0.6017)  4 Os 2.60
Mg (0.5000, 0.5000, 0.3850)  1 Os 2.66
Os (0.5000, 0.5000, 0.7059)  5 Mg 2.60-2.66

Output
The space group is P4mm. For the density of states at the Fermi level, the calculation gives 0.994 states/eV per atom. The energy above the most stable polymorph in this dataset is 0 meV per atom. The calculation puts the total energy at -13.8 eV per cell.

---

[5]
The following is a DFT calculation (PBEsol) of KMg2Os after structural relaxation.

Cell: 4.8390 4.8390 4.8390 Å, 60.00 60.00 60.00°
With the nearest neighbours (Å) after each atom.
Fractional coordinates of all 4 atoms:
K (0.0000, 0.0000, 0.0000)  8 Mg 2.96
Mg (0.2500, 0.2500, 0.2500)  4 K 2.96, 4 Os 2.96
Mg (0.7500, 0.7500, 0.7500)  4 Os 2.96, 4 K 2.96
Os (0.5000, 0.5000, 0.5000)  8 Mg 2.96

Output
The space group is Fm-3m. For the density of states at the Fermi level, the calculation gives 1.187 states/eV per atom. The energy above the most stable polymorph in this dataset is 86 meV per atom. The calculation puts the total energy at -13.5 eV per cell.

---

[6]
The following is a DFT calculation (PBEsol) of K2MgP after structural relaxation.

Cell: 5.3844 5.3844 5.3844 Å, 60.00 60.00 60.00°
With the nearest neighbours (Å) after each atom.
Fractional coordinates of all 4 atoms:
K (0.0000, 0.0000, 0.0000)  4 K 3.30, 4 Mg 3.30
K (0.2500, 0.2500, 0.2500)  4 P 3.30, 4 K 3.30
Mg (0.7500, 0.7500, 0.7500)  4 K 3.30, 4 P 3.30
P (0.5000, 0.5000, 0.5000)  4 K 3.30, 4 Mg 3.30

Output
The space group is F-43m. For the density of states at the Fermi level, the calculation gives 0.561 states/eV per atom. The energy above the most stable polymorph in this dataset is 0 meV per atom. The calculation puts the total energy at -9.5 eV per cell.

---

[7]
The following is a DFT calculation (PBEsol) of K2MgP after structural relaxation.

Cell: 11.9462 11.9462 11.9462 Å, 158.26 158.26 30.94°
With the nearest neighbours (Å) after each atom.
Fractional coordinates of all 8 atoms:
K (0.1016, 0.6250, 0.9766)  4 K 3.04-3.34, 2 P 3.26, 2 Mg 3.33
K (0.3750, 0.3516, 0.4766)  4 K 3.04-3.34, 2 P 3.26, 2 Mg 3.33
K (0.6484, 0.1250, 0.0234)  4 K 3.04-3.34, 2 P 3.26, 2 Mg 3.33
K (0.8750, 0.8984, 0.5234)  4 K 3.04-3.34, 2 P 3.26, 2 Mg 3.33
Mg (0.2500, 0.7500, 0.5000)  4 P 3.19, 4 K 3.33
Mg (0.5000, 0.5000, 0.0000)  4 P 3.19, 4 K 3.33
P (0.0000, 0.0000, 0.0000)  4 Mg 3.19, 4 K 3.26
P (0.7500, 0.2500, 0.5000)  4 Mg 3.19, 4 K 3.26

Output
The space group is I-42d. For the density of states at the Fermi level, the calculation gives 0.519 states/eV per atom. The energy above the most stable polymorph in this dataset is 237 meV per atom. The calculation puts the total energy at -17.0 eV per cell.

---

[8]
The following is a DFT calculation (PBEsol) of K2MgP after structural relaxation.

Cell: 11.7060 11.7060 11.7060 Å, 17.28 17.28 17.28°
With the nearest neighbours (Å) after each atom.
Fractional coordinates of all 4 atoms:
K (0.2352, 0.2352, 0.2352)  3 P 3.12
K (0.7648, 0.7648, 0.7648)  3 P 3.12
Mg (0.0000, 0.0000, 0.0000)  6 Mg 3.52
P (0.5000, 0.5000, 0.5000)  6 K 3.12

Output
The space group is R-3m. For the density of states at the Fermi level, the calculation gives 0.543 states/eV per atom. The energy above the most stable polymorph in this dataset is 234 meV per atom. The calculation puts the total energy at -8.5 eV per cell.

---

[9]
The following is a DFT calculation (PBEsol) of KMg2P after structural relaxation.

Cell: 6.0727 6.0727 2.9931 Å, 90.00 90.00 119.33°
With the nearest neighbours (Å) after each atom.
Fractional coordinates of all 4 atoms:
K (0.0000, 0.0000, 0.0000)  2 K 2.99, 2 P 3.07
Mg (0.0000, 0.5000, 0.5000)  4 Mg 2.99-3.07
Mg (0.5000, 0.0000, 0.5000)  4 Mg 2.99-3.07
P (0.5000, 0.5000, 0.0000)  2 P 2.99, 2 K 3.07

Output
The space group is Cmmm. For the density of states at the Fermi level, the calculation gives 0.632 states/eV per atom. The calculation puts the total energy at -8.9 eV per cell.

---

[10]
The following is a DFT calculation (PBEsol) of KMg2Pb after structural relaxation.

Cell: 5.8879 3.5030 6.0187 Å, 90.00 109.96 90.00°
With the nearest neighbours (Å) after each atom.
Fractional coordinates of all 4 atoms:
K (0.0000, 0.0000, 0.0000)  6 Mg 3.42-3.43, 4 Pb 3.48, 2 K 3.50
Mg (0.5000, 0.0000, 0.5000)  2 K 3.42, 4 Pb 3.43, 6 Mg 3.48-3.50
Mg (0.5000, 0.5000, 0.0000)  2 Pb 3.42, 4 K 3.43, 6 Mg 3.48-3.50
Pb (0.0000, 0.5000, 0.5000)  6 Mg 3.42-3.43, 4 K 3.48, 2 Pb 3.50

Output
The space group is P2/m. For the density of states at the Fermi level, the calculation gives 0.524 states/eV per atom. The calculation puts the total energy at -8.1 eV per cell.

---

[11]
The following is a DFT calculation (PBEsol) of K2MgPb after structural relaxation.

Cell: 6.9457 6.9457 6.9457 Å, 44.52 44.52 44.52°
With the nearest neighbours (Å) after each atom.
Fractional coordinates of all 4 atoms:
K (0.0000, 0.0000, 0.0000)  3 Pb 3.64, 3 Mg 3.67, 4 K 3.76-4.04
K (0.2154, 0.2154, 0.2154)  3 Mg 3.62, 3 Pb 3.66, 4 K 3.76-4.04
Mg (0.4435, 0.4435, 0.4435)  3 Pb 3.04
Pb (0.7736, 0.7736, 0.7736)  3 Mg 3.04

Output
The space group is R3m. For the density of states at the Fermi level, the calculation gives 0.137 states/eV per atom. The calculation puts the total energy at -8.4 eV per cell.

---

[12]
The following is a DFT calculation (PBEsol) of K2MgPb after structural relaxation.

Cell: 6.1152 6.1152 6.1152 Å, 130.59 119.20 82.03°
With the nearest neighbours (Å) after each atom.
Fractional coordinates of all 4 atoms:
K (0.0000, 0.0000, 0.0000)  4 Pb 3.59-3.74, 4 K 3.64-3.72, 1 Mg 3.89
K (0.7078, 0.2078, 0.5000)  4 K 3.64-3.72, 4 Mg 3.67, 5 Pb 4.02-4.06
Mg (0.4216, 0.4216, 0.0000)  2 Pb 2.90
Pb (0.2725, 0.7725, 0.5000)  2 Mg 2.90

Output
The space group is Imm2. For the density of states at the Fermi level, the calculation gives 0.311 states/eV per atom. The calculation puts the total energy at -8.2 eV per cell.

---

[13]
The following is a DFT calculation (PBEsol) of K2MgPb after structural relaxation.

Cell: 5.6402 5.6402 5.6402 Å, 60.00 60.00 60.00°
With the nearest neighbours (Å) after each atom.
Fractional coordinates of all 4 atoms:
K (0.0000, 0.0000, 0.0000)  4 Mg 3.45, 4 K 3.45
K (0.2500, 0.2500, 0.2500)  4 Pb 3.45, 4 K 3.45
Mg (0.7500, 0.7500, 0.7500)  4 Pb 3.45, 4 K 3.45
Pb (0.5000, 0.5000, 0.5000)  4 Mg 3.45, 4 K 3.45

Output
The space group is F-43m. For the density of states at the Fermi level, the calculation gives 0.053 states/eV per atom. The calculation puts the total energy at -8.3 eV per cell.

---

[14]
The following is a DFT calculation (PBEsol) of KMg2Pb after structural relaxation.

Cell: 11.5865 11.5865 11.5865 Å, 17.39 17.39 17.39°
With the nearest neighbours (Å) after each atom.
Fractional coordinates of all 4 atoms:
K (0.0000, 0.0000, 0.0000)  6 K 3.50, 6 Mg 3.78
Mg (0.2400, 0.2400, 0.2400)  3 Pb 3.22, 6 Mg 3.50
Mg (0.7600, 0.7600, 0.7600)  3 Pb 3.22, 6 Mg 3.50
Pb (0.5000, 0.5000, 0.5000)  6 Mg 3.22, 6 Pb 3.50

Output
The space group is R-3m. For the density of states at the Fermi level, the calculation gives 0.616 states/eV per atom. The calculation puts the total energy at -8.0 eV per cell.

---

[15]
The following is a DFT calculation (PBEsol) of K2MgPb after structural relaxation.

Cell: 5.9102 5.9102 5.9102 Å, 60.00 60.00 60.00°
With the nearest neighbours (Å) after each atom.
Fractional coordinates of all 4 atoms:
K (0.2500, 0.2500, 0.2500)  4 Pb 3.62, 4 Mg 3.62
K (0.7500, 0.7500, 0.7500)  4 Pb 3.62, 4 Mg 3.62
Mg (0.0000, 0.0000, 0.0000)  8 K 3.62
Pb (0.5000, 0.5000, 0.5000)  8 K 3.62

Output
The space group is Fm-3m. For the density of states at the Fermi level, the calculation gives 1.131 states/eV per atom. The calculation puts the total energy at -7.4 eV per cell.